# Re2SiB (SCAN, PBEsol geometry)
# E (eV/atom): -39.638
# Raw formation energy (kcal/mol of atoms): 6.3
data_Re2SiB
_chemical_formula_sum 'Re8 Si4 B4'
_cell_length_a 5.735
_cell_length_b 5.735
_cell_length_c 5.735
_cell_angle_alpha 90.00
_cell_angle_beta 90.00
_cell_angle_gamma 90.00
_space_group_name_H-M_alt 'F m -3 m'
_space_group_IT_number 225
_space_group_name_Hall '-F 4 2 3'
loop_
_atom_site_label
_atom_site_type_symbol
_atom_site_fract_x
_atom_site_fract_y
_atom_site_fract_z
Re1 Re 0.250 0.250 0.250
Si1 Si 0.000 0.000 0.000
B1 B 0.000 0.000 0.500


# SrRe3B (SCAN, PBEsol geometry)
# E (eV/atom): -47.698
# Formation enthalpy at 0 K (eV/atom): 0.9018
data_SrRe3B
_chemical_formula_sum 'Sr1 Re3 B1'
_cell_length_a 4.292
_cell_length_b 4.292
_cell_length_c 4.292
_cell_angle_alpha 90.00
_cell_angle_beta 90.00
_cell_angle_gamma 90.00
_space_group_name_H-M_alt 'P m -3 m'
_space_group_IT_number 221
_space_group_name_Hall '-P 4 2 3'
loop_
_atom_site_label
_atom_site_type_symbol
_atom_site_fract_x
_atom_site_fract_y
_atom_site_fract_z
Sr1 Sr 0.000 0.000 0.000
Re1 Re 0.000 0.500 0.500
B1 B 0.500 0.500 0.500


# SrReB2W (SCAN, PBEsol geometry)
# E (eV/atom): -31.723
# Formation enthalpy at 0 K (eV/atom): 3.8608
data_SrReB2W
_chemical_formula_sum 'Sr1 Re1 B2 W1'
_cell_length_a 4.084
_cell_length_b 4.084
_cell_length_c 5.051
_cell_angle_alpha 90.00
_cell_angle_beta 90.00
_cell_angle_gamma 90.00
_space_group_name_H-M_alt 'P 4/m m m'
_space_group_IT_number 123
_space_group_name_Hall '-P 4 2'
loop_
_atom_site_label
_atom_site_type_symbol
_atom_site_fract_x
_atom_site_fract_y
_atom_site_fract_z
Sr1 Sr 0.000 0.000 0.000
Re1 Re 0.000 0.000 0.500
B1 B 0.000 0.500 0.000
W1 W 0.500 0.500 0.500


# TbReB4 (SCAN, PBEsol geometry)
# E (eV/atom): -25.235
# Formation enthalpy at 0 K (eV/atom): -0.6387
data_TbReB4
_chemical_formula_sum 'Tb4 Re4 B16'
_cell_length_a 5.952
_cell_length_b 11.517
_cell_length_c 3.583
_cell_angle_alpha 90.00
_cell_angle_beta 90.00
_cell_angle_gamma 90.00
_space_group_name_H-M_alt 'P b a m'
_space_group_IT_number 55
loop_
_space_group_symop_operation_xyz
'x,y,z'
'-x,-y,-z'
'-x,-y,z'
'x,y,-z'
'x+1/2,-y+1/2,-z'
'-x+1/2,y+1/2,z'
'-x+1/2,y+1/2,-z'
'x+1/2,-y+1/2,z'
loop_
_atom_site_label
_atom_site_type_symbol
_atom_site_fract_x
_atom_site_fract_y
_atom_site_fract_z
Tb1 Tb 0.127 0.150 0.000
Re1 Re 0.133 0.413 0.000
B1 B 0.023 0.692 0.500
B2 B 0.114 0.547 0.500
B3 B 0.136 0.968 0.500
B4 B 0.213 0.815 0.500


# Re2BTe (SCAN, PBEsol geometry)
# E (eV/atom): -45.951
# Raw formation energy (kcal/mol of atoms): 17.7
data_Re2BTe
_chemical_formula_sum 'Re8 B4 Te4'
_cell_length_a 4.535
_cell_length_b 4.535
_cell_length_c 13.690
_cell_angle_alpha 90.00
_cell_angle_beta 90.00
_cell_angle_gamma 90.00
_space_group_name_H-M_alt 'I -4 2 d'
_space_group_IT_number 122
_space_group_name_Hall 'I -4 2bw'
loop_
_atom_site_label
_atom_site_type_symbol
_atom_site_fract_x
_atom_site_fract_y
_atom_site_fract_z
Re1 Re 0.133 0.250 0.125
B1 B 0.000 0.000 0.000
Te1 Te 0.000 0.000 0.500


# ThReB4 (SCAN, PBEsol geometry)
# E (eV/atom): -33.348
# Formation enthalpy at 0 K (eV/atom): -0.5587
data_ThReB4
_chemical_formula_sum 'Th4 Re4 B16'
_cell_length_a 7.444
_cell_length_b 9.539
_cell_length_c 3.701
_cell_angle_alpha 90.00
_cell_angle_beta 90.00
_cell_angle_gamma 90.00
_space_group_name_H-M_alt 'C m m m'
_space_group_IT_number 65
_space_group_name_Hall '-C 2 2'
loop_
_atom_site_label
_atom_site_type_symbol
_atom_site_fract_x
_atom_site_fract_y
_atom_site_fract_z
Th1 Th 0.000 0.199 0.000
Re1 Re 0.181 0.500 0.000
B1 B 0.000 0.411 0.500
B2 B 0.129 0.000 0.500
B3 B 0.220 0.345 0.500


# Tl2ReB (SCAN, PBEsol geometry)
# E (eV/atom): -53.843
# Formation enthalpy at 0 K (eV/atom): 1.9684
data_Tl2ReB
_chemical_formula_sum 'Tl8 Re4 B4'
_cell_length_a 6.620
_cell_length_b 6.620
_cell_length_c 6.620
_cell_angle_alpha 90.00
_cell_angle_beta 90.00
_cell_angle_gamma 90.00
_space_group_name_H-M_alt 'F m -3 m'
_space_group_IT_number 225
_space_group_name_Hall '-F 4 2 3'
loop_
_atom_site_label
_atom_site_type_symbol
_atom_site_fract_x
_atom_site_fract_y
_atom_site_fract_z
Tl1 Tl 0.250 0.250 0.250
Re1 Re 0.000 0.000 0.000
B1 B 0.000 0.000 0.500


# Tm3ReB7 (SCAN, PBEsol geometry)
# E (eV/atom): -26.062
# Formation enthalpy at 0 K (eV/atom): -0.7349
data_Tm3ReB7
_chemical_formula_sum 'Tm12 Re4 B28'
_cell_length_a 3.460
_cell_length_b 15.459
_cell_length_c 9.216
_cell_angle_alpha 90.00
_cell_angle_beta 90.00
_cell_angle_gamma 90.00
_space_group_name_H-M_alt 'C m c m'
_space_group_IT_number 63
_space_group_name_Hall '-C 2c 2'
loop_
_atom_site_label
_atom_site_type_symbol
_atom_site_fract_x
_atom_site_fract_y
_atom_site_fract_z
Tm1 Tm 0.000 0.106 0.059
Tm2 Tm 0.000 0.243 0.750
Re1 Re 0.000 0.052 0.750
B1 B 0.000 0.272 0.033
B2 B 0.000 0.367 0.150
B3 B 0.000 0.453 0.750
B4 B 0.000 0.480 0.094


# V11ReB8 (SCAN, PBEsol geometry)
# E (eV/atom): -16.924
# Formation enthalpy at 0 K (eV/atom): -0.7789
data_V11ReB8
_chemical_formula_sum 'V11 Re1 B8'
_cell_length_a 5.692
_cell_length_b 2.988
_cell_length_c 11.391
_cell_angle_alpha 90.00
_cell_angle_beta 90.01
_cell_angle_gamma 90.00
_space_group_name_H-M_alt 'P 1 2/m 1'
_space_group_IT_number 10
loop_
_space_group_symop_operation_xyz
'x,y,z'
'-x,-y,-z'
'-x,y,-z'
'x,-y,z'
loop_
_atom_site_label
_atom_site_type_symbol
_atom_site_fract_x
_atom_site_fract_y
_atom_site_fract_z
V1 V 0.000 0.000 0.000
V2 V 0.178 0.500 0.160
V3 V 0.180 0.500 0.664
V4 V 0.322 0.500 0.912
V5 V 0.327 0.500 0.409
V6 V 0.500 0.000 0.249
Re1 Re 0.000 0.000 0.500
B1 B 0.112 0.000 0.304
B2 B 0.112 0.000 0.807
B3 B 0.388 0.000 0.056
B4 B 0.389 0.000 0.556


# ReB2W2 (SCAN, PBEsol geometry)
# E (eV/atom): -45.258
# Formation enthalpy at 0 K (eV/atom): -0.1916
data_ReB2W2
_chemical_formula_sum 'Re2 B4 W4'
_cell_length_a 5.990
_cell_length_b 5.990
_cell_length_c 3.120
_cell_angle_alpha 90.00
_cell_angle_beta 90.00
_cell_angle_gamma 90.00
_space_group_name_H-M_alt 'P 4/m b m'
_space_group_IT_number 127
_space_group_name_Hall '-P 4 2ab'
loop_
_atom_site_label
_atom_site_type_symbol
_atom_site_fract_x
_atom_site_fract_y
_atom_site_fract_z
Re1 Re 0.000 0.000 0.000
B1 B 0.117 0.383 0.000
W1 W 0.168 0.668 0.500


# Re3BW (SCAN, PBEsol geometry)
# E (eV/atom): -54.814
# Formation enthalpy at 0 K (eV/atom): 3.2676
data_Re3BW
_chemical_formula_sum 'Re3 B1 W1'
_cell_length_a 4.682
_cell_length_b 4.682
_cell_length_c 4.682
_cell_angle_alpha 90.00
_cell_angle_beta 90.00
_cell_angle_gamma 90.00
_space_group_name_H-M_alt 'P m -3 m'
_space_group_IT_number 221
_space_group_name_Hall '-P 4 2 3'
loop_
_atom_site_label
_atom_site_type_symbol
_atom_site_fract_x
_atom_site_fract_y
_atom_site_fract_z
Re1 Re 0.000 0.000 0.500
B1 B 0.500 0.500 0.500
W1 W 0.000 0.000 0.000


# YRe3B (SCAN, PBEsol geometry)
# E (eV/atom): -49.501
# Formation enthalpy at 0 K (eV/atom): 0.2121
data_YRe3B
_chemical_formula_sum 'Y1 Re3 B1'
_cell_length_a 4.234
_cell_length_b 4.234
_cell_length_c 4.234
_cell_angle_alpha 90.00
_cell_angle_beta 90.00
_cell_angle_gamma 90.00
_space_group_name_H-M_alt 'P m -3 m'
_space_group_IT_number 221
_space_group_name_Hall '-P 4 2 3'
loop_
_atom_site_label
_atom_site_type_symbol
_atom_site_fract_x
_atom_site_fract_y
_atom_site_fract_z
Y1 Y 0.000 0.000 0.000
Re1 Re 0.000 0.500 0.500
B1 B 0.500 0.500 0.500


# ZnRe2B (SCAN, PBEsol geometry)
# E (eV/atom): -40.067
# Formation enthalpy at 0 K (eV/atom): 0.7174
data_ZnRe2B
_chemical_formula_sum 'Zn4 Re8 B4'
_cell_length_a 5.762
_cell_length_b 5.762
_cell_length_c 5.762
_cell_angle_alpha 90.00
_cell_angle_beta 90.00
_cell_angle_gamma 90.00
_space_group_name_H-M_alt 'F m -3 m'
_space_group_IT_number 225
_space_group_name_Hall '-F 4 2 3'
loop_
_atom_site_label
_atom_site_type_symbol
_atom_site_fract_x
_atom_site_fract_y
_atom_site_fract_z
Zn1 Zn 0.000 0.000 0.000
Re1 Re 0.250 0.250 0.250
B1 B 0.000 0.000 0.500


# Zn3ReB (SCAN, PBEsol geometry)
# E (eV/atom): -22.785
# Formation enthalpy at 0 K (eV/atom): 1.0295
data_Zn3ReB
_chemical_formula_sum 'Zn3 Re1 B1'
_cell_length_a 4.037
_cell_length_b 4.037
_cell_length_c 4.037
_cell_angle_alpha 90.00
_cell_angle_beta 90.00
_cell_angle_gamma 90.00
_space_group_name_H-M_alt 'P m -3 m'
_space_group_IT_number 221
_space_group_name_Hall '-P 4 2 3'
loop_
_atom_site_label
_atom_site_type_symbol
_atom_site_fract_x
_atom_site_fract_y
_atom_site_fract_z
Zn1 Zn 0.000 0.000 0.500
Re1 Re 0.500 0.500 0.500
B1 B 0.000 0.000 0.000


# B4Rh5 (SCAN, PBEsol geometry)
# E (eV/atom): -22.527
# Formation enthalpy at 0 K (eV/atom): -0.4629
data_B4Rh5
_chemical_formula_sum 'B8 Rh10'
_cell_length_a 3.3270
_cell_length_b 3.3270
_cell_length_c 19.8223
_cell_angle_alpha 90.00
_cell_angle_beta 90.00
_cell_angle_gamma 120.00
_space_group_name_H-M_alt 'P 63/m m c'
_space_group_IT_number 194
_space_group_name_Hall '-P 6c 2c'
loop_
_atom_site_label
_atom_site_type_symbol
_atom_site_fract_x
_atom_site_fract_y
_atom_site_fract_z
B1 B 0.3333 0.6667 0.0860
B2 B 0.3333 0.6667 0.1963
Rh1 Rh 0.0000 0.0000 0.1473
Rh2 Rh 0.3333 0.6667 0.5470
Rh3 Rh 0.3333 0.6667 0.7500


# B11Rh18 (SCAN, PBEsol geometry)
# E (eV/atom): -24.142
# Formation enthalpy at 0 K (eV/atom): -0.3621
data_B11Rh18
_chemical_formula_sum 'B11 Rh18'
_cell_length_a 5.457
_cell_length_b 6.798
_cell_length_c 9.038
_cell_angle_alpha 110.94
_cell_angle_beta 94.83
_cell_angle_gamma 90.55
_space_group_name_H-M_alt 'P 1'
_space_group_IT_number 1
loop_
_space_group_symop_operation_xyz
'x,y,z'
loop_
_atom_site_label
_atom_site_type_symbol
_atom_site_fract_x
_atom_site_fract_y
_atom_site_fract_z
B1 B 0.000 0.000 0.000
B2 B 0.035 0.759 0.624
B3 B 0.113 0.479 0.041
B4 B 0.221 0.142 0.541
B5 B 0.374 0.432 0.366
B6 B 0.478 0.149 0.875
B7 B 0.555 0.613 0.759
B8 B 0.670 0.342 0.274
B9 B 0.810 0.615 0.088
B10 B 0.866 0.854 0.273
B11 B 0.925 0.291 0.602
Rh1 Rh 0.053 0.578 0.303
Rh2 Rh 0.119 0.198 0.786
Rh3 Rh 0.170 0.828 0.131
Rh4 Rh 0.247 0.481 0.587
Rh5 Rh 0.275 0.853 0.840
Rh6 Rh 0.297 0.234 0.100
Rh7 Rh 0.354 0.862 0.546
Rh8 Rh 0.443 0.526 0.948
Rh9 Rh 0.474 0.125 0.360
Rh10 Rh 0.549 0.644 0.272
Rh11 Rh 0.587 0.240 0.687
Rh12 Rh 0.670 0.908 0.085
Rh13 Rh 0.738 0.527 0.536
Rh14 Rh 0.753 0.907 0.789
Rh15 Rh 0.788 0.279 0.045
Rh16 Rh 0.859 0.946 0.511
Rh17 Rh 0.915 0.568 0.852
Rh18 Rh 0.972 0.181 0.336


# BRh2S (SCAN, PBEsol geometry)
# E (eV/atom): -20.738
# Raw formation energy (kcal/mol of atoms): 9.5
data_BRh2S
_chemical_formula_sum 'B4 Rh8 S4'
_cell_length_a 5.685
_cell_length_b 5.685
_cell_length_c 5.685
_cell_angle_alpha 90.00
_cell_angle_beta 90.00
_cell_angle_gamma 90.00
_space_group_name_H-M_alt 'F m -3 m'
_space_group_IT_number 225
_space_group_name_Hall '-F 4 2 3'
loop_
_atom_site_label
_atom_site_type_symbol
_atom_site_fract_x
_atom_site_fract_y
_atom_site_fract_z
B1 B 0.000 0.000 0.000
Rh1 Rh 0.250 0.250 0.250
S1 S 0.000 0.000 0.500


# YBRhS2 (SCAN, PBEsol geometry)
# E (eV/atom): -16.742
# Raw formation energy (kcal/mol of atoms): 21.2
data_YBRhS2
_chemical_formula_sum 'Y1 B1 Rh1 S2'
_cell_length_a 5.029
_cell_length_b 5.029
_cell_length_c 4.631
_cell_angle_alpha 90.00
_cell_angle_beta 90.00
_cell_angle_gamma 90.00
_space_group_name_H-M_alt 'P 4/m m m'
_space_group_IT_number 123
_space_group_name_Hall '-P 4 2'
loop_
_atom_site_label
_atom_site_type_symbol
_atom_site_fract_x
_atom_site_fract_y
_atom_site_fract_z
Y1 Y 0.000 0.000 0.000
B1 B 0.000 0.000 0.500
Rh1 Rh 0.500 0.500 0.500
S1 S 0.000 0.500 0.000


# Sc2B6Rh (SCAN, PBEsol geometry)
# E (eV/atom): -12.676
# Formation enthalpy at 0 K (eV/atom): -0.8072
data_Sc2B6Rh
_chemical_formula_sum 'Sc8 B24 Rh4'
_cell_length_a 8.873
_cell_length_b 11.140
_cell_length_c 3.412
_cell_angle_alpha 90.00
_cell_angle_beta 90.00
_cell_angle_gamma 90.00
_space_group_name_H-M_alt 'P b a m'
_space_group_IT_number 55
loop_
_space_group_symop_operation_xyz
'x,y,z'
'-x,-y,-z'
'-x,-y,z'
'x,y,-z'
'x+1/2,-y+1/2,-z'
'-x+1/2,y+1/2,z'
'-x+1/2,y+1/2,-z'
'x+1/2,-y+1/2,z'
loop_
_atom_site_label
_atom_site_type_symbol
_atom_site_fract_x
_atom_site_fract_y
_atom_site_fract_z
Sc1 Sc 0.056 0.126 0.000
Sc2 Sc 0.181 0.414 0.000
B1 B 0.020 0.287 0.500
B2 B 0.054 0.564 0.500
B3 B 0.102 0.972 0.500
B4 B 0.131 0.819 0.500
B5 B 0.204 0.238 0.500
B6 B 0.247 0.078 0.500
Rh1 Rh 0.141 0.680 0.000


# ScB3Rh (SCAN, PBEsol geometry)
# E (eV/atom): -13.579
# Formation enthalpy at 0 K (eV/atom): 0.4807
data_ScB3Rh
_chemical_formula_sum 'Sc1 B3 Rh1'
_cell_length_a 3.972
_cell_length_b 3.972
_cell_length_c 3.972
_cell_angle_alpha 90.00
_cell_angle_beta 90.00
_cell_angle_gamma 90.00
_space_group_name_H-M_alt 'P m -3 m'
_space_group_IT_number 221
_space_group_name_Hall '-P 4 2 3'
loop_
_atom_site_label
_atom_site_type_symbol
_atom_site_fract_x
_atom_site_fract_y
_atom_site_fract_z
Sc1 Sc 0.000 0.000 0.000
B1 B 0.000 0.500 0.500
Rh1 Rh 0.500 0.500 0.500